Entry 1:
! Na3BrF | the Alexandria database | PBE-GGA | relaxed; values from VASP
&SYSTEM
  ibrav = 0, nat = 5, ntyp = 3
/
ATOMIC_SPECIES
Na 22.99 Na.upf
F 19.00 F.upf
Br 79.90 Br.upf
ATOMIC_POSITIONS angstrom
Na -1.8841 -1.1738 1.0137
Na -0.6659 -0.8283 -2.1968
F 0.0000 0.0000 0.0000
Br -3.9508 -0.0295 -1.5024
Na -1.4007 1.9727 -0.3192
CELL_PARAMETERS angstrom
-1.3317 -1.6566 -4.3936
-3.7683 -2.3477 2.0274
-2.8015 3.9454 -0.6385
! SG: Pm-3m, No. 221
! DOS at the Fermi energy (states/eV/atom): 0.21
! ΔE_f (raw) (kJ per mole of atoms): -143.96

Entry 2:
! NaBrF2 | the Alexandria database | PBE-GGA | relaxed; values from VASP
&SYSTEM
  ibrav = 0, nat = 8, ntyp = 3
/
ATOMIC_SPECIES
Br 79.90 Br.upf
Na 22.99 Na.upf
F 19.00 F.upf
ATOMIC_POSITIONS angstrom
Br 0.0000 0.0000 0.0000
Na 3.1971 6.3942 1.7509
F 1.8513 4.7956 0.8755
Na 3.1971 3.1971 0.0000
F 4.7956 5.0484 2.6264
Br 6.3942 3.1971 1.7509
F 7.9927 7.7399 2.6264
F 4.5429 1.5985 0.8755
CELL_PARAMETERS angstrom
6.3942 0.0000 0.0000
0.0000 6.3942 0.0000
3.1971 3.1971 3.5018
! SG: I-42d, No. 122
! DOS at the Fermi energy (states/eV/atom): 0.08
! ΔE_f (raw) (kJ per mole of atoms): -115.72

Entry 3:
! NaBrF2 | the Alexandria database | PBE-GGA | relaxed; values from VASP
&SYSTEM
  ibrav = 0, nat = 8, ntyp = 3
/
ATOMIC_SPECIES
Na 22.99 Na.upf
F 19.00 F.upf
Br 79.90 Br.upf
ATOMIC_POSITIONS angstrom
Na 0.0000 0.0000 0.0000
F 0.0000 2.2104 0.9905
F 0.0000 2.2104 5.0196
Na 0.0000 0.0000 6.0101
F 1.9142 1.1052 11.0296
Br 0.0000 2.2104 3.0050
F 1.9142 1.1052 7.0006
Br 1.9142 1.1052 9.0151
CELL_PARAMETERS angstrom
3.8285 0.0000 0.0000
-1.9142 3.3156 0.0000
0.0000 0.0000 12.0201
! SG: P6_3/mmc, No. 194
! DOS at the Fermi energy (states/eV/atom): 0.00
! ΔE_f (raw) (kJ per mole of atoms): -162.51

Q: The lowest ΔE_f (raw) belongs to which entry?
A: number 3